Below is a PBEsol-optimized structure of Cs2GaSiW, with properties calculated at the meta-GGA SCAN level.

DOS(E_F) = 0.764 states/eV/atom
Calculated volume = 46.458 Å³/atom
Uncorrected energy = -32.76 eV/atom

Cell: 4.9160 6.8740 6.8740 Å, 90.00 90.00 90.00°
Last column: magnetic moment on the atom in μB.
Positions (direct):
Cs1 0.0000 0.0000 0.5000  0.03
Cs2 0.0000 0.5000 0.0000  0.03
Si1 0.5000 0.5000 0.5000  0.68
Ga1 0.0000 0.0000 0.0000  -0.03
W1 0.5000 0.0000 0.0000  2.69